(1)
PBE MnIrRu, optimized geometry; space-group type = No. 14; ΔH_f (0 K) = -7 kJ/mol of formula units; electronic total energy = -109.5 eV for the cell shown; density of states at the Fermi level = 3.557 states/eV/f.u.
1.0
6.551 0.000 0.000
0.000 5.377 0.000
-1.105 0.000 4.520
Mn Ir Ru
4 4 4
direct
0.000 0.125 0.247
0.000 0.375 0.747
0.000 0.625 0.253
0.000 0.875 0.753
0.322 0.624 0.024
0.322 0.876 0.524
0.678 0.124 0.476
0.678 0.376 0.976
0.323 0.125 0.025
0.323 0.375 0.525
0.677 0.625 0.475
0.677 0.875 0.975

(2)
PBE Fe2Ir7Rh3, optimized geometry; space-group type = No. 10; ΔH_f (0 K) = 113 kJ/mol of formula units; electronic total energy = -99.8 eV for the cell shown; density of states at the Fermi level = 15.213 states/eV/f.u.
1.0
4.879 0.000 0.000
0.000 2.708 0.000
-1.479 0.000 13.034
Fe Ir Rh
2 7 3
direct
0.057 0.000 0.172
0.943 0.000 0.828
0.000 0.500 0.500
0.222 0.000 0.670
0.247 0.000 0.000
0.281 0.500 0.329
0.719 0.500 0.671
0.753 0.000 0.000
0.778 0.000 0.330
0.447 0.500 0.843
0.500 0.000 0.500
0.553 0.500 0.157

(3)
PBE Ba2YRh, optimized geometry; space-group type = No. 65; ΔH_f (0 K) = -54 kJ/mol of formula units; electronic total energy = -36.5 eV for the cell shown; density of states at the Fermi level = 2.457 states/eV/f.u.
1.0
5.419 0.000 0.000
0.000 15.204 0.000
0.000 0.000 4.392
Ba Y Rh
4 2 2
direct
0.000 0.142 0.000
0.000 0.858 0.000
0.500 0.358 0.000
0.500 0.642 0.000
0.000 0.500 0.500
0.500 0.000 0.500
0.000 0.000 0.500
0.500 0.500 0.500

(4)
PBE Pr6BSe12, optimized geometry; space-group type = No. 148; electronic total energy = -100.8 eV for the cell shown; E_form (uncorrected) = -1242 meV/atom; density of states at the Fermi level = 15.915 states/eV/f.u.
1.0
6.292 3.633 3.938
-6.292 3.633 3.938
0.000 -7.266 3.938
Pr B Se
6 1 12
direct
0.131 0.286 0.631
0.286 0.631 0.131
0.369 0.869 0.714
0.631 0.131 0.286
0.714 0.369 0.869
0.869 0.714 0.369
0.000 0.000 0.000
0.021 0.947 0.711
0.053 0.289 0.979
0.180 0.577 0.444
0.289 0.979 0.053
0.423 0.556 0.820
0.444 0.180 0.577
0.556 0.820 0.423
0.577 0.444 0.180
0.711 0.021 0.947
0.820 0.423 0.556
0.947 0.711 0.021
0.979 0.053 0.289

(5)
PBE NaLiAgHg2, optimized geometry; space-group type = No. 123; ΔH_f (0 K) = -4 kJ/mol of formula units; electronic total energy = -6.7 eV for the cell shown; density of states at the Fermi level = 2.572 states/eV/f.u.
1.0
5.025 0.000 0.000
0.000 5.025 0.000
0.000 0.000 4.862
Na Li Ag Hg
1 1 1 2
direct
0.000 0.000 0.000
0.500 0.500 0.500
0.500 0.500 0.000
0.000 0.500 0.500
0.500 0.000 0.500

(6)
PBE LaTlTeF2, optimized geometry; space-group type = No. 123; electronic total energy = -26.5 eV for the cell shown; E_form (uncorrected) = -2461 meV/atom
1.0
4.762 0.000 0.000
0.000 4.762 0.000
0.000 0.000 6.456
La Tl Te F
1 1 1 2
direct
0.000 0.000 0.000
0.500 0.500 0.500
0.000 0.000 0.500
0.000 0.500 0.000
0.500 0.000 0.000

Repeat the sixth record exactly.
PBE LaTlTeF2, optimized geometry; space-group type = No. 123; electronic total energy = -26.5 eV for the cell shown; E_form (uncorrected) = -2461 meV/atom
1.0
4.762 0.000 0.000
0.000 4.762 0.000
0.000 0.000 6.456
La Tl Te F
1 1 1 2
direct
0.000 0.000 0.000
0.500 0.500 0.500
0.000 0.000 0.500
0.000 0.500 0.000
0.500 0.000 0.000

> What is the electronic total energy in the fourth record?

-100.8 eV for the cell shown

> Which value of electronic total energy does entry 6 give?

-26.5 eV for the cell shown